[1]
This record from Alexandria via LeMat-Bulk describes a relaxed PmZnAgGe crystal. The functional is GGA-PBE.

Output
Symmetry = F-43m
Magnetic moment = 0.00 μB/atom
Total DFT energy (no corrections) = -14.74 eV for the cell shown

Cell: 4.880 4.880 4.880 Å, 60.00 60.00 60.00°
Fractional positions:
Ge 0.250 0.250 0.250
Ag 0.500 0.500 0.500
Zn 0.750 0.750 0.750
Pm 0.000 0.000 0.000

[2]
This record from Alexandria via LeMat-Bulk describes a relaxed PmZnAgGe2 crystal. The functional is GGA-PBE.

Output
Symmetry = I-4m2
Magnetic moment = 0.00 μB/atom
Total DFT energy (no corrections) = -20.10 eV for the cell shown

Cell: 4.213 4.213 6.398 Å, 109.22 109.22 90.00°
Fractional positions:
Ge 0.610 0.610 0.221
Ge 0.390 0.390 0.779
Ag 0.250 0.750 0.500
Zn 0.750 0.250 0.500
Pm 0.000 0.000 0.000

[3]
This record from Alexandria via LeMat-Bulk describes a relaxed Pr3Ag4Ge4 crystal. The functional is GGA-PBE.

Output
Symmetry = Immm
Magnetic moment = 0.00 μB/atom
Total DFT energy (no corrections) = -50.23 eV for the cell shown

Cell: 8.580 8.580 8.580 Å, 149.72 130.25 59.35°
Fractional positions:
Ge 0.681 0.500 0.181
Ag 0.973 0.668 0.305
Ge 0.216 0.216 0.000
Pr 0.000 0.000 0.000
Ge 0.784 0.784 0.000
Pr 0.628 0.128 0.500
Ag 0.027 0.332 0.695
Ag 0.363 0.668 0.695
Ge 0.319 0.500 0.819
Ag 0.637 0.332 0.305
Pr 0.372 0.872 0.500

[4]
This record from Alexandria via LeMat-Bulk describes a relaxed PrAgGe crystal. The functional is GGA-PBE.

Output
Symmetry = I4mm
Magnetic moment = 0.00 μB/atom
Total DFT energy (no corrections) = -12.84 eV for the cell shown

Cell: 4.149 4.149 5.239 Å, 113.33 113.33 90.00°
Fractional positions:
Ag 0.606 0.606 0.213
Ge 0.295 0.295 0.590
Pr 0.949 0.949 0.898